Density functional theory data (GGA-PBE) for crystalline LiHfFeAs at its relaxed geometry.

Geometry as POSCAR:
```
LiHfFeAs
1.0
0.000 2.990 2.990
2.990 0.000 2.990
2.990 2.990 0.000
As Fe Hf Li
1 1 1 1
Direct
0.500 0.500 0.500
0.250 0.250 0.250
0.000 0.000 0.000
0.750 0.750 0.750
```

Calculated total energy: -6.6063 eV per atom
Space-group type: No. 216
Calculated density: 9.82 g cm⁻³
E above lowest polymorph: 0.000 eV/atom